(1)
{
  "formula": "Ca2InSn",
  "functional": "PBE",
  "state": "optimized geometry",
  "lattice_angstrom": [[0.000, 3.857, 3.857], [3.857, 0.000, 3.857], [3.857, 3.857, 0.000]],
  "species": ["Ca", "Ca", "Sn", "In"],
  "fractional_positions": [[0.250, 0.250, 0.250], [0.750, 0.750, 0.750], [0.500, 0.500, 0.500], [0.000, 0.000, 0.000]],
  "dos_at_fermi_per_ev_cell": 2.70,
  "density_kg_m3": 4540,
  "space_group": "No. 225",
  "vol_a3_per_cell": 114.7,
  "ef_mev_per_atom": -538
}

***

(2)
{
  "formula": "Ca2InSn3",
  "functional": "PBE",
  "state": "optimized geometry",
  "lattice_angstrom": [[-1.640, -0.310, -3.176], [-2.629, -3.586, 1.707], [-6.951, 6.503, 2.953]],
  "species": ["Ca", "Ca", "In", "Sn", "Sn", "Sn"],
  "fractional_positions": [[0.000, 0.500, 0.005], [0.000, 0.000, 0.499], [0.500, 0.500, 0.337], [0.500, 0.000, 0.841], [0.500, 0.000, 0.165], [0.500, 0.500, 0.655]],
  "dos_at_fermi_per_ev_cell": 3.18,
  "density_kg_m3": 5373,
  "space_group": "No. 25",
  "vol_a3_per_cell": 170.3,
  "ef_mev_per_atom": -388
}

***

(3)
{
  "formula": "CaIn3Sn",
  "functional": "PBE",
  "state": "optimized geometry",
  "lattice_angstrom": [[5.706, 0.000, 0.000], [0.000, 5.706, 0.000], [0.000, 0.000, 5.706]],
  "species": ["Ca", "Sn", "In", "In", "In"],
  "fractional_positions": [[0.500, 0.500, 0.500], [0.000, 0.000, 0.000], [0.000, 0.500, 0.000], [0.000, 0.000, 0.500], [0.500, 0.000, 0.000]],
  "dos_at_fermi_per_ev_cell": 3.65,
  "density_kg_m3": 4498,
  "space_group": "No. 221",
  "vol_a3_per_cell": 185.8,
  "ef_mev_per_atom": 245
}

***

(4)
{
  "formula": "CaIn2Sn5",
  "functional": "PBE",
  "state": "optimized geometry",
  "lattice_angstrom": [[-2.612, -8.367, 0.134], [6.624, -1.985, 5.150], [-6.667, 6.695, 1.350]],
  "species": ["Ca", "Ca", "In", "In", "In", "In", "Sn", "Sn", "Sn", "Sn", "Sn", "Sn", "Sn", "Sn", "Sn", "Sn"],
  "fractional_positions": [[0.000, 0.000, 0.500], [0.500, 0.500, 0.500], [0.078, 0.503, 0.835], [0.756, 0.003, 0.835], [0.922, 0.497, 0.165], [0.244, 0.997, 0.165], [0.440, 0.499, 0.825], [0.847, 0.750, 0.000], [0.153, 0.250, 0.000], [0.959, 0.706, 0.613], [0.041, 0.294, 0.387], [0.654, 0.206, 0.613], [0.346, 0.794, 0.387], [0.560, 0.501, 0.175], [0.384, 0.999, 0.825], [0.616, 0.001, 0.175]],
  "dos_at_fermi_per_ev_cell": 7.19,
  "density_kg_m3": 6188,
  "space_group": "No. 15",
  "vol_a3_per_cell": 463.3,
  "ef_mev_per_atom": -82
}

***

(5)
{
  "formula": "Ca7In2Sn2",
  "functional": "PBE",
  "state": "optimized geometry",
  "lattice_angstrom": [[7.086, -0.003, -0.982], [0.003, 8.044, 0.004], [-1.422, -0.002, 7.011]],
  "species": ["Ca", "Ca", "Ca", "Ca", "Ca", "Ca", "Ca", "In", "In", "Sn", "Sn"],
  "fractional_positions": [[0.000, 0.282, 0.500], [0.500, 0.718, 0.000], [0.000, 0.718, 0.500], [0.500, 0.282, 0.000], [0.000, 0.000, 0.000], [0.500, 0.743, 0.500], [0.500, 0.257, 0.500], [0.824, 0.500, 0.824], [0.176, 0.500, 0.176], [0.710, 0.000, 0.290], [0.290, 0.000, 0.710]],
  "dos_at_fermi_per_ev_cell": 6.47,
  "density_kg_m3": 3197,
  "space_group": "No. 65",
  "vol_a3_per_cell": 388.4,
  "ef_mev_per_atom": -337
}

***

(6)
{
  "formula": "CaInSn",
  "functional": "PBE",
  "state": "optimized geometry",
  "lattice_angstrom": [[4.643, 0.000, -0.006], [0.000, 4.643, 0.006], [0.021, -0.021, 8.075]],
  "species": ["Ca", "Ca", "In", "In", "Sn", "Sn"],
  "fractional_positions": [[0.750, 0.250, 0.333], [0.250, 0.750, 0.667], [0.750, 0.750, 0.000], [0.250, 0.250, 0.000], [0.251, 0.749, 0.269], [0.749, 0.251, 0.731]],
  "dos_at_fermi_per_ev_cell": 4.18,
  "density_kg_m3": 5219,
  "space_group": "No. 12",
  "vol_a3_per_cell": 174.1,
  "ef_mev_per_atom": -350
}

***

(7)
{
  "formula": "CaIn2Sn",
  "functional": "PBE",
  "state": "optimized geometry",
  "lattice_angstrom": [[3.971, 0.000, 0.000], [0.000, 3.971, 0.000], [0.000, 0.000, 7.089]],
  "species": ["Ca", "Sn", "In", "In"],
  "fractional_positions": [[0.500, 0.500, 0.500], [0.500, 0.500, 0.000], [0.000, 0.000, 0.776], [0.000, 0.000, 0.224]],
  "dos_at_fermi_per_ev_cell": 2.05,
  "density_kg_m3": 5772,
  "space_group": "No. 123",
  "vol_a3_per_cell": 111.8,
  "ef_mev_per_atom": -245
}

***

(8)
{
  "formula": "Ca4In5Sn2",
  "functional": "PBE",
  "state": "optimized geometry",
  "lattice_angstrom": [[3.492, 0.000, 0.000], [0.000, 8.365, -0.068], [0.000, -0.892, 10.483]],
  "species": ["Ca", "Ca", "Ca", "Ca", "In", "In", "In", "In", "In", "Sn", "Sn"],
  "fractional_positions": [[0.500, 0.719, 0.557], [0.500, 0.172, 0.890], [0.500, 0.281, 0.443], [0.500, 0.828, 0.110], [0.000, 0.549, 0.294], [0.000, 0.193, 0.161], [0.000, 0.500, 0.000], [0.000, 0.807, 0.839], [0.000, 0.451, 0.706], [0.000, 0.062, 0.636], [0.000, 0.938, 0.364]],
  "dos_at_fermi_per_ev_cell": 5.81,
  "density_kg_m3": 5274,
  "space_group": "No. 10",
  "vol_a3_per_cell": 306.0,
  "ef_mev_per_atom": -389
}

***

(9)
{
  "formula": "CaIn7Sn4",
  "functional": "PBE",
  "state": "optimized geometry",
  "lattice_angstrom": [[6.221, 0.000, 0.000], [3.110, 8.690, 0.603], [3.110, 0.659, 6.376]],
  "species": ["Ca", "In", "In", "In", "In", "In", "In", "In", "Sn", "Sn", "Sn", "Sn"],
  "fractional_positions": [[0.000, 0.000, 0.000], [0.741, 0.000, 0.518], [0.259, 0.000, 0.482], [0.004, 0.657, 0.335], [0.996, 0.343, 0.665], [0.257, 0.652, 0.834], [0.500, 0.000, 0.000], [0.743, 0.348, 0.166], [0.500, 0.328, 0.672], [0.500, 0.672, 0.328], [0.744, 0.677, 0.836], [0.256, 0.323, 0.164]],
  "dos_at_fermi_per_ev_cell": 6.95,
  "density_kg_m3": 6398,
  "space_group": "No. 12",
  "vol_a3_per_cell": 342.2,
  "ef_mev_per_atom": 2
}

***

(10)
{
  "formula": "CaIn2Sn2",
  "functional": "PBE",
  "state": "optimized geometry",
  "lattice_angstrom": [[5.501, 0.000, 1.890], [2.466, 6.144, 1.773], [1.417, 1.230, 4.825]],
  "species": ["Ca", "In", "In", "Sn", "Sn"],
  "fractional_positions": [[0.000, 0.000, 0.000], [0.215, 0.371, 0.198], [0.785, 0.629, 0.802], [0.604, 0.233, 0.560], [0.396, 0.767, 0.440]],
  "dos_at_fermi_per_ev_cell": 2.47,
  "density_kg_m3": 6000,
  "space_group": "No. 12",
  "vol_a3_per_cell": 140.4,
  "ef_mev_per_atom": -212
}

***

(11)
{
  "formula": "CaIn6Sn2",
  "functional": "PBE",
  "state": "optimized geometry",
  "lattice_angstrom": [[-4.159, -3.391, 0.473], [4.138, -0.317, 3.435], [-4.478, 6.328, 5.977]],
  "species": ["Ca", "In", "In", "In", "In", "In", "In", "Sn", "Sn"],
  "fractional_positions": [[0.000, 0.000, 0.500], [0.667, 0.333, 0.007], [0.333, 0.667, 0.993], [0.000, 0.000, 0.160], [0.333, 0.667, 0.330], [0.000, 0.000, 0.840], [0.667, 0.333, 0.670], [0.333, 0.666, 0.676], [0.667, 0.334, 0.324]],
  "dos_at_fermi_per_ev_cell": 3.32,
  "density_kg_m3": 6522,
  "space_group": "No. 164",
  "vol_a3_per_cell": 246.1,
  "ef_mev_per_atom": -134
}

***

(12)
{
  "formula": "Ca3In12Sn",
  "functional": "PBE",
  "state": "optimized geometry",
  "lattice_angstrom": [[-3.549, -0.841, -3.042], [3.140, -0.487, -3.530], [1.244, -18.481, 3.657]],
  "species": ["Ca", "Ca", "Ca", "In", "In", "In", "In", "In", "In", "In", "In", "In", "In", "In", "In", "Sn"],
  "fractional_positions": [[0.000, 0.000, 0.251], [0.000, 0.000, 0.500], [0.000, 0.000, 0.749], [0.500, 0.500, 0.000], [0.500, 0.500, 0.255], [0.500, 0.500, 0.500], [0.500, 0.500, 0.745], [0.500, 0.000, 0.126], [0.500, 0.000, 0.376], [0.500, 0.000, 0.624], [0.500, 0.000, 0.874], [0.000, 0.500, 0.126], [0.000, 0.500, 0.376], [0.000, 0.500, 0.624], [0.000, 0.500, 0.874], [0.000, 0.000, 0.000]],
  "dos_at_fermi_per_ev_cell": 6.85,
  "density_kg_m3": 6304,
  "space_group": "No. 123",
  "vol_a3_per_cell": 425.9,
  "ef_mev_per_atom": -227
}

***

(13)
{
  "formula": "Ca3In2Sn3",
  "functional": "PBE",
  "state": "optimized geometry",
  "lattice_angstrom": [[-2.782, -3.385, 1.978], [5.931, -2.253, -1.354], [5.002, 4.405, 14.576]],
  "species": ["Ca", "Ca", "Ca", "Ca", "Ca", "Ca", "In", "In", "In", "In", "Sn", "Sn", "Sn", "Sn", "Sn", "Sn"],
  "fractional_positions": [[0.940, 0.880, 0.386], [0.060, 0.120, 0.886], [0.940, 0.880, 0.114], [0.060, 0.120, 0.614], [0.670, 0.340, 0.250], [0.330, 0.660, 0.750], [0.760, 0.519, 0.895], [0.240, 0.481, 0.395], [0.760, 0.519, 0.605], [0.240, 0.481, 0.105], [0.615, 0.229, 0.453], [0.385, 0.771, 0.953], [0.615, 0.229, 0.047], [0.385, 0.771, 0.547], [0.395, 0.790, 0.250], [0.605, 0.210, 0.750]],
  "dos_at_fermi_per_ev_cell": 8.03,
  "density_kg_m3": 5051,
  "space_group": "No. 63",
  "vol_a3_per_cell": 464.2,
  "ef_mev_per_atom": -463
}

***

(14)
{
  "formula": "CaIn2Sn2",
  "functional": "PBE",
  "state": "optimized geometry",
  "lattice_angstrom": [[-0.560, -4.321, -1.910], [3.297, -1.590, 2.629], [-8.208, -0.683, 9.878]],
  "species": ["Ca", "Ca", "In", "In", "In", "In", "Sn", "Sn", "Sn", "Sn"],
  "fractional_positions": [[0.350, 0.250, 0.701], [0.650, 0.750, 0.299], [0.049, 0.750, 0.099], [0.452, 0.750, 0.904], [0.951, 0.250, 0.901], [0.548, 0.250, 0.096], [0.751, 0.250, 0.503], [0.249, 0.750, 0.497], [0.854, 0.750, 0.707], [0.146, 0.250, 0.293]],
  "dos_at_fermi_per_ev_cell": 5.65,
  "density_kg_m3": 6216,
  "space_group": "No. 63",
  "vol_a3_per_cell": 271.0,
  "ef_mev_per_atom": -247
}

***

(15)
{
  "formula": "Ca2In6Sn",
  "functional": "PBE",
  "state": "optimized geometry",
  "lattice_angstrom": [[-6.486, 0.883, 0.588], [-1.063, -4.785, -4.555], [-0.691, -6.370, 1.930]],
  "species": ["Ca", "Ca", "In", "In", "In", "In", "In", "In", "Sn"],
  "fractional_positions": [[0.866, 0.667, 0.667], [0.134, 0.333, 0.333], [0.331, 0.360, 0.821], [0.329, 0.820, 0.820], [0.331, 0.821, 0.360], [0.669, 0.640, 0.179], [0.671, 0.180, 0.180], [0.669, 0.179, 0.640], [0.000, 0.000, 0.000]],
  "dos_at_fermi_per_ev_cell": 5.83,
  "density_kg_m3": 5787,
  "space_group": "No. 12",
  "vol_a3_per_cell": 254.7,
  "ef_mev_per_atom": -233
}

***

(16)
{
  "formula": "CaIn3Sn",
  "functional": "PBE",
  "state": "optimized geometry",
  "lattice_angstrom": [[-1.647, -4.692, 0.565], [1.439, -1.296, -6.567], [8.388, -0.056, 1.840]],
  "species": ["Ca", "Ca", "In", "In", "In", "In", "In", "In", "Sn", "Sn"],
  "fractional_positions": [[0.798, 0.984, 0.878], [0.227, 0.482, 0.737], [0.615, 0.786, 0.512], [0.604, 0.322, 0.492], [0.032, 0.603, 0.346], [0.993, 0.104, 0.269], [0.411, 0.286, 0.103], [0.421, 0.818, 0.122], [0.172, 0.029, 0.626], [0.854, 0.530, 0.989]],
  "dos_at_fermi_per_ev_cell": 4.20,
  "density_kg_m3": 5937,
  "space_group": "No. 1",
  "vol_a3_per_cell": 281.5,
  "ef_mev_per_atom": -223
}

***

(17)
{
  "formula": "Ca3In2Sn7",
  "functional": "PBE",
  "state": "optimized geometry",
  "lattice_angstrom": [[-1.569, -3.435, 5.097], [2.101, -5.958, 0.579], [8.565, 0.303, 6.788]],
  "species": ["Ca", "Ca", "Ca", "In", "In", "Sn", "Sn", "Sn", "Sn", "Sn", "Sn", "Sn"],
  "fractional_positions": [[0.000, 0.000, 0.000], [0.139, 0.139, 0.582], [0.861, 0.861, 0.418], [0.336, 0.336, 0.993], [0.664, 0.664, 0.007], [0.500, 0.500, 0.500], [0.078, 0.590, 0.741], [0.590, 0.590, 0.741], [0.590, 0.078, 0.741], [0.922, 0.410, 0.259], [0.410, 0.922, 0.259], [0.410, 0.410, 0.259]],
  "dos_at_fermi_per_ev_cell": 3.11,
  "density_kg_m3": 5462,
  "space_group": "No. 166",
  "vol_a3_per_cell": 359.0,
  "ef_mev_per_atom": -233
}

***

(18)
{
  "formula": "CaInSn",
  "functional": "PBE",
  "state": "optimized geometry",
  "lattice_angstrom": [[-1.983, -2.736, -1.949], [2.543, -2.701, 1.205], [-3.440, 1.772, 4.916]],
  "species": ["Ca", "Sn", "In"],
  "fractional_positions": [[0.617, 0.617, 0.234], [0.300, 0.300, 0.601], [0.933, 0.933, 0.865]],
  "dos_at_fermi_per_ev_cell": 1.10,
  "density_kg_m3": 5318,
  "space_group": "No. 107",
  "vol_a3_per_cell": 85.4,
  "ef_mev_per_atom": -343
}

***

(19)
{
  "formula": "Ca4InSn12",
  "functional": "PBE",
  "state": "optimized geometry",
  "lattice_angstrom": [[-7.267, -3.442, 3.022], [6.735, -4.287, 3.172], [0.472, 8.241, 2.381]],
  "species": ["Ca", "Ca", "Ca", "Ca", "In", "Sn", "Sn", "Sn", "Sn", "Sn", "Sn", "Sn", "Sn", "Sn", "Sn", "Sn", "Sn"],
  "fractional_positions": [[0.000, 0.000, 0.500], [0.500, 0.000, 0.000], [0.500, 0.500, 0.500], [0.000, 0.500, 0.000], [0.000, 0.000, 0.000], [0.000, 0.302, 0.302], [0.000, 0.698, 0.698], [0.698, 0.698, 0.000], [0.302, 0.302, 0.000], [0.302, 0.000, 0.302], [0.698, 0.000, 0.698], [0.500, 0.250, 0.750], [0.500, 0.750, 0.250], [0.750, 0.250, 0.500], [0.250, 0.750, 0.500], [0.750, 0.500, 0.250], [0.250, 0.500, 0.750]],
  "dos_at_fermi_per_ev_cell": 13.33,
  "density_kg_m3": 5783,
  "space_group": "No. 229",
  "vol_a3_per_cell": 488.0,
  "ef_mev_per_atom": -274
}

***

(20)
{
  "formula": "CaInSn",
  "functional": "PBE",
  "state": "optimized geometry",
  "lattice_angstrom": [[-1.371, -1.452, 4.101], [-1.481, -4.063, -1.933], [4.437, 0.375, 1.616]],
  "species": ["Ca", "Sn", "In"],
  "fractional_positions": [[0.668, 0.667, 0.333], [0.273, 0.333, 0.667], [0.059, 0.000, 0.000]],
  "dos_at_fermi_per_ev_cell": 1.28,
  "density_kg_m3": 5125,
  "space_group": "No. 156",
  "vol_a3_per_cell": 88.6,
  "ef_mev_per_atom": -378
}

***

(21)
{
  "formula": "CaInSn2",
  "functional": "PBE",
  "state": "optimized geometry",
  "lattice_angstrom": [[-2.260, -1.387, 3.754], [2.335, -1.471, 3.676], [0.181, 5.348, 4.898]],
  "species": ["Ca", "In", "Sn", "Sn"],
  "fractional_positions": [[0.669, 0.669, 0.993], [0.497, 0.497, 0.509], [0.092, 0.092, 0.723], [0.242, 0.242, 0.275]],
  "dos_at_fermi_per_ev_cell": 2.03,
  "density_kg_m3": 5273,
  "space_group": "No. 160",
  "vol_a3_per_cell": 123.5,
  "ef_mev_per_atom": -202
}

***

(22)
{
  "formula": "Ca3In2Sn",
  "functional": "PBE",
  "state": "optimized geometry",
  "lattice_angstrom": [[-1.431, -3.072, 1.588], [4.200, -0.117, 3.557], [-6.457, 4.827, 3.522]],
  "species": ["Ca", "Ca", "Ca", "In", "In", "Sn"],
  "fractional_positions": [[0.500, 0.500, 0.000], [0.500, 0.838, 0.676], [0.500, 0.162, 0.324], [0.000, 0.323, 0.647], [0.000, 0.677, 0.353], [0.000, 0.000, 0.000]],
  "dos_at_fermi_per_ev_cell": 2.71,
  "density_kg_m3": 4520,
  "space_group": "No. 65",
  "vol_a3_per_cell": 172.2,
  "ef_mev_per_atom": -522
}

***

(23)
{
  "formula": "Ca2In2Sn",
  "functional": "PBE",
  "state": "optimized geometry",
  "lattice_angstrom": [[-3.819, 6.720, 0.696], [-2.635, -2.218, 6.955], [3.912, 2.003, 2.121]],
  "species": ["Ca", "Ca", "Ca", "Ca", "Sn", "Sn", "In", "In", "In", "In"],
  "fractional_positions": [[0.172, 0.672, 0.500], [0.672, 0.828, 0.500], [0.828, 0.328, 0.500], [0.328, 0.172, 0.500], [0.000, 0.000, 0.000], [0.500, 0.500, 0.000], [0.368, 0.868, 0.000], [0.868, 0.632, 0.000], [0.632, 0.132, 0.000], [0.132, 0.368, 0.000]],
  "dos_at_fermi_per_ev_cell": 5.00,
  "density_kg_m3": 4841,
  "space_group": "No. 127",
  "vol_a3_per_cell": 294.0,
  "ef_mev_per_atom": -404
}